First-principles (PBE-GGA) data for a geometry-optimized NaHf2Ni2 structure, as listed in Alexandria via LeMat-Bulk.

Cell lengths 7.585, 7.585, 3.083 Å; angles 90.00, 90.00, 90.00 degrees
Atoms (fractional coordinates):
Hf1 0.845 0.345 0.500
Hf2 0.655 0.845 0.500
Hf3 0.345 0.155 0.500
Hf4 0.155 0.655 0.500
Ni1 0.871 0.629 0.000
Ni2 0.629 0.129 0.000
Ni3 0.371 0.871 0.000
Ni4 0.129 0.371 0.000
Na1 0.500 0.500 0.000
Na2 0.000 0.000 0.000

As for the calculated density: 9.31 Mg/m³. For the total energy, the calculation gives -6.659 eV per atom. Its space group is No. 127. For the magnetic moment, the calculation gives 0.00 μB/f.u. For the formation energy, the calculation gives -0.5 eV/f.u.